Material: KMoOs2
Method: DFT, SCAN
State: PBEsol geometry

Computed properties:
The calculation puts the formation energy at 294.6 kJ/mol of formula units. As for the total energy: -367.8 eV/cell. The total moment is 0.000 μB per cell.

a = 2.881 Å, b = 4.588 Å, c = 10.162 Å
α = 90.00°, β = 90.00°, γ = 90.00°
Space group Cmmm (No. 65)
Inequivalent atoms, fractional coordinates:
1 K 0.000 0.000 0.000
2 Mo 0.000 0.000 0.500
3 Os 0.000 0.500 0.284